Model i:
VASP calculation (PBE) on a geometry-optimized RbTiMn3 structure.

abc: 4.9038 4.9038 4.9038
angles: 90.00 90.00 90.00
Last column: nearest neighbours and their distance in Å.
Sites, in units of the cell vectors:
Rb (0.0000, 0.0000, 0.0000)  6 Mn 2.45
Ti (0.5000, 0.5000, 0.5000)  12 Mn 3.47
Mn (0.0000, 0.0000, 0.5000)  2 Rb 2.45
Mn (0.0000, 0.5000, 0.0000)  2 Rb 2.45
Mn (0.5000, 0.0000, 0.0000)  2 Rb 2.45

- DOS(E_F) (states/eV/atom) = 1.543
- symmetry = Pm-3m, No. 221

=====

Model ii:
VASP calculation (PBE) on a geometry-optimized RbTiMn3 structure.

abc: 5.0369 5.0369 5.0369
angles: 90.00 90.00 90.00
Last column: nearest neighbours and their distance in Å.
Sites, in units of the cell vectors:
Rb (0.0000, 0.0000, 0.0000)  12 Mn 3.56
Ti (0.5000, 0.5000, 0.5000)  6 Mn 2.52
Mn (0.0000, 0.5000, 0.5000)  2 Ti 2.52
Mn (0.5000, 0.0000, 0.5000)  2 Ti 2.52
Mn (0.5000, 0.5000, 0.0000)  2 Ti 2.52

- DOS(E_F) (states/eV/atom) = 1.349
- symmetry = Pm-3m, No. 221

=====

It is model ii that is most stable; the runner-up trails by 1203 meV per atom.

=====

Model i:
VASP calculation (PBE) on a geometry-optimized RbTiMn2 structure.

abc: 5.0325 5.0325 5.0325
angles: 60.00 60.00 60.00
Last column: nearest neighbours and their distance in Å.
Sites, in units of the cell vectors:
Rb (0.0000, 0.0000, 0.0000)  8 Mn 3.08
Ti (0.5000, 0.5000, 0.5000)  8 Mn 3.08
Mn (0.2500, 0.2500, 0.2500)  4 Ti 3.08, 4 Rb 3.08
Mn (0.7500, 0.7500, 0.7500)  4 Ti 3.08, 4 Rb 3.08

- DOS(E_F) (states/eV/atom) = 0.678
- symmetry = Fm-3m, No. 225

=====

Model ii:
VASP calculation (PBE) on a geometry-optimized RbTiMn2 structure.

abc: 8.8960 8.8960 8.8960
angles: 143.36 143.36 52.79
Last column: nearest neighbours and their distance in Å.
Sites, in units of the cell vectors:
Rb (0.3750, 0.6250, 0.7500)  8 Mn 3.71, 4 Ti 3.95
Rb (0.6250, 0.3750, 0.2500)  8 Mn 3.71, 4 Ti 3.95
Ti (0.1250, 0.8750, 0.2500)  4 Mn 2.43
Ti (0.8750, 0.1250, 0.7500)  4 Mn 2.43
Mn (0.0000, 0.0000, 0.0000)  2 Ti 2.43
Mn (0.0000, 0.0000, 0.5000)  2 Ti 2.43
Mn (0.0000, 0.5000, 0.0000)  2 Ti 2.43
Mn (0.5000, 0.0000, 0.5000)  2 Ti 2.43

- DOS(E_F) (states/eV/atom) = 1.322
- symmetry = I4_1/amd, No. 141

=====

It is model ii that is most stable; the runner-up trails by 44 meV per atom.

=====

Model i:
VASP calculation (PBE) on a geometry-optimized RbMnTl3 structure.

abc: 5.3372 5.3372 5.3372
angles: 90.00 90.00 90.00
Last column: nearest neighbours and their distance in Å.
Sites, in units of the cell vectors:
Rb (0.0000, 0.0000, 0.0000)  12 Tl 3.77
Mn (0.5000, 0.5000, 0.5000)  6 Tl 2.67
Tl (0.0000, 0.5000, 0.5000)  2 Mn 2.67
Tl (0.5000, 0.0000, 0.5000)  2 Mn 2.67
Tl (0.5000, 0.5000, 0.0000)  2 Mn 2.67

- DOS(E_F) (states/eV/atom) = 0.564
- symmetry = Pm-3m, No. 221

=====

Model ii:
VASP calculation (PBE) on a geometry-optimized RbMnTl3 structure.

abc: 6.3089 6.3089 6.3089
angles: 90.00 90.00 90.00
Last column: nearest neighbours and their distance in Å.
Sites, in units of the cell vectors:
Rb (0.0000, 0.0000, 0.0000)  6 Tl 3.15
Mn (0.5000, 0.5000, 0.5000)  12 Tl 4.46
Tl (0.0000, 0.0000, 0.5000)  2 Rb 3.15
Tl (0.0000, 0.5000, 0.0000)  2 Rb 3.15
Tl (0.5000, 0.0000, 0.0000)  2 Rb 3.15

- DOS(E_F) (states/eV/atom) = 1.365
- symmetry = Pm-3m, No. 221

=====

It is model i that is most stable; the runner-up trails by 1068 meV per atom.